# 1
ScBe2 | GGA-PBE | optimized geometry

ΔH_f (0 K) ... 0.25 eV per atom
Total moment ... 0.000 μB per cell
Volume ... 14.3 A^3/atom
DFT total energy ... -4.343 eV/atom

Cell: 5.8991 5.8991 4.2708 Å, 90.00 90.00 120.00°
With the nearest neighbours (Å) after each atom.
Space group P-62m (No. 189)
One atom of each set of equivalent atoms:
Sc (0.0000, 0.0000, 0.0000)  9 Be 2.47-2.68
Sc (0.3333, 0.6667, 0.5000)  3 Be 2.41
Be (0.0000, 0.2116, 0.5000)  2 Be 2.16, 2 Sc 2.41
Be (0.0000, 0.4548, 0.0000)  2 Be 2.57, 5 Sc 2.68-2.74

***

# 2
LaPdS3 | GGA-PBE | optimized geometry

Total moment ... 0.001 μB per cell
Volume ... 21.0 A^3/atom
Energy above the most stable polymorph in this dataset ... 0.000 eV/atom
DFT total energy ... -5.441 eV/atom
Formation energy (no corrections) ... -4.7 eV/f.u.

Cell: 4.7166 4.7166 4.7166 Å, 90.00 90.00 90.00°
With the nearest neighbours (Å) after each atom.
Space group Pm-3m (No. 221)
One atom of each set of equivalent atoms:
La (0.0000, 0.0000, 0.0000)  12 S 3.34
Pd (0.5000, 0.5000, 0.5000)  6 S 2.36
S (0.0000, 0.5000, 0.5000)  2 Pd 2.36

***

What is the DFT total energy in the second record?
-5.441 eV/atom